1.
First-principles (SCAN) data for Li2TcAu at its PBEsol-relaxed geometry, as listed in Alexandria.

The structure in CIF format:
```
data_Li2TcAu
_cell_length_a 2.6263
_cell_length_b 4.5416
_cell_length_c 9.3297
_cell_angle_alpha 90.00
_cell_angle_beta 90.00
_cell_angle_gamma 90.00
_symmetry_space_group_name_H-M 'I m m 2'
_symmetry_Int_Tables_number 44
_symmetry_space_group_name_Hall 'I 2 -2'
loop_
_atom_site_label
_atom_site_fract_x
_atom_site_fract_y
_atom_site_fract_z
Li1 0.0000 0.0000 0.0000
Li2 0.0000 0.5000 0.2560
Tc1 0.0000 0.5000 0.7614
Au1 0.0000 0.0000 0.5179
```

- Calculated formation energy: 0.4 eV per formula unit
- E above lowest polymorph: 0.1657 eV/atom
- Fermi-level density of states: 3.2 states/eV/cell
- Theoretical density: 9.22 g/cm3

---

2.
First-principles (SCAN) data for LiTcAu at its PBEsol-relaxed geometry, as listed in Alexandria.

The structure in CIF format:
```
data_LiTcAu
_cell_length_a 2.5926
_cell_length_b 4.0719
_cell_length_c 8.1712
_cell_angle_alpha 90.00
_cell_angle_beta 90.00
_cell_angle_gamma 90.00
_symmetry_space_group_name_H-M 'I m m 2'
_symmetry_Int_Tables_number 44
_symmetry_space_group_name_Hall 'I 2 -2'
loop_
_atom_site_label
_atom_site_fract_x
_atom_site_fract_y
_atom_site_fract_z
Li1 0.0000 0.0000 0.0000
Tc1 0.0000 0.0000 0.6695
Au1 0.0000 0.0000 0.3384
```

- Calculated formation energy: 0.8 eV per formula unit
- E above lowest polymorph: 0.0846 eV/atom
- Fermi-level density of states: 5.1 states/eV/cell
- Theoretical density: 11.62 g/cm3